# 1
Nd3SnAs2Pd9 (PBE, relaxed); magnetic moment = 0.000 μB/cell; density = 8.1 g/cm3; ΔH_f (0 K) = -8.31 eV/f.u.; SG = P-3m1; electronic total energy = -5.510 eV/atom
1.0
-2.0996 -5.0470 3.6006
3.8702 -1.0554 -5.1723
7.4016 0.7612 5.3830
Pd Nd Sn As
9 3 1 2
Direct
0.8577 0.1423 0.7267
0.1423 0.8577 0.2733
0.1423 0.2846 0.2733
0.5000 0.0000 0.0000
0.7154 0.8577 0.2733
0.8577 0.7154 0.7267
0.0000 0.5000 0.0000
0.5000 0.5000 0.0000
0.2846 0.1423 0.7267
0.3333 0.6667 0.7197
0.6667 0.3333 0.2803
0.0000 0.0000 0.0000
0.0000 0.0000 0.5000
0.6667 0.3333 0.8265
0.3333 0.6667 0.1735

# 2
YNi2Os (PBE, relaxed); ΔE to the lowest computed polymorph = 0.309 eV per atom; magnetic moment = 0.000 μB/cell; density = 10.7 g/cm3; ΔH_f (0 K) = 0.64 eV/f.u.; SG = Imm2; electronic total energy = -7.153 eV/atom
1.0
5.3029 0.0148 0.0166
2.5711 4.6379 -0.0166
-3.4430 -3.1624 2.5032
Y Ni Os
1 2 1
Direct
0.7535 0.2535 0.5000
0.2460 0.7460 0.5000
0.0253 0.0253 0.0000
0.4752 0.4752 0.0000

# 3
CaAcAlSn (PBE, relaxed); magnetic moment = 0.000 μB/cell; density = 5.6 g/cm3; ΔH_f (0 K) = -1.55 eV/f.u.; SG = F-43m; electronic total energy = -3.851 eV/atom
1.0
-3.7917 -3.9244 1.0528
0.9598 -5.2647 -1.4993
0.9945 -3.8560 3.8767
Ca Ac Al Sn
1 1 1 1
Direct
0.0000 0.0000 0.0000
0.5000 0.5000 0.5000
0.7500 0.7500 0.7500
0.2500 0.2500 0.2500

# 4
Ac2CdGa3Cu4 (PBE, relaxed); magnetic moment = 0.000 μB/cell; density = 8.3 g/cm3; ΔH_f (0 K) = -3.32 eV/f.u.; SG = P-4m2; electronic total energy = -3.792 eV/atom
1.0
4.4575 0.0000 0.0000
0.0000 4.4575 0.0000
0.0000 0.0000 10.3153
Ga Ac Cd Cu
3 2 1 4
Direct
0.5000 0.0000 0.8817
0.0000 0.0000 0.5000
0.0000 0.5000 0.1183
0.5000 0.0000 0.2374
0.0000 0.5000 0.7626
0.5000 0.5000 0.5000
0.5000 0.5000 0.0000
0.5000 0.0000 0.6406
0.0000 0.0000 0.0000
0.0000 0.5000 0.3594

# 5
Rb2MnTl (PBE, relaxed); ΔE to the lowest computed polymorph = 0.146 eV per atom; magnetic moment = 3.396 μB/cell; density = 4.1 g/cm3; ΔH_f (0 K) = 2.67 eV/f.u.; SG = Fm-3m; electronic total energy = -2.699 eV/atom
1.0
0.0000 4.4216 4.4216
4.4216 0.0000 4.4216
4.4216 4.4216 0.0000
Rb Mn Tl
2 1 1
Direct
0.2500 0.2500 0.2500
0.7500 0.7500 0.7500
0.0000 0.0000 0.0000
0.5000 0.5000 0.5000

# 6
Ho6Er3ZrSc2 (PBE, relaxed); magnetic moment = 0.000 μB/cell; density = 8.0 g/cm3; ΔH_f (0 K) = 0.63 eV/f.u.; SG = C2/m; electronic total energy = -5.145 eV/atom
1.0
5.9650 0.0031 0.0005
-2.9783 5.1683 0.0005
-0.9918 -1.7173 11.2208
Zr Ho Sc Er
1 6 2 3
Direct
0.0000 0.0000 0.0000
0.7507 0.7507 0.2396
0.5901 0.9198 0.7599
0.4099 0.0802 0.2401
0.9198 0.5901 0.7599
0.0802 0.4099 0.2401
0.2493 0.2493 0.7604
0.6669 0.3331 0.0000
0.3331 0.6669 0.0000
0.5000 0.5000 0.5000
0.8333 0.1667 0.5000
0.1667 0.8333 0.5000